Entry 1:
Crystalline CaAcAs2O8 at its relaxed geometry, computed with GGA-PBE.

Unit cell a=5.263 b=5.263 c=7.101 alpha=111.75 beta=111.75 gamma=90.00
Positions (direct):
1 O 0.576 0.708 0.655
2 O 0.292 0.921 0.345
3 O 0.711 0.819 0.149
4 O 0.439 0.330 0.149
5 O 0.670 0.289 0.851
6 O 0.079 0.947 0.655
7 O 0.053 0.424 0.345
8 O 0.181 0.561 0.851
9 As 0.500 0.500 0.000
10 As 0.250 0.750 0.500
11 Ac 0.750 0.250 0.500
12 Ca 0.000 0.000 0.000

DOS(E_F): 7.405 states/eV/cell
size of the total moment: 1.1 μB per cell
formation energy from raw total energies: -2.041 eV per atom

Entry 2:
Crystalline CaAc2AsO8 at its relaxed geometry, computed with GGA-PBE.

Unit cell a=5.572 b=5.572 c=6.466 alpha=90.00 beta=90.00 gamma=120.00
Positions (direct):
1 Ac 0.667 0.333 0.150
2 Ac 0.333 0.667 0.850
3 O 0.333 0.667 0.500
4 O 0.667 0.333 0.500
5 O 0.688 0.844 0.167
6 O 0.312 0.156 0.833
7 O 0.156 0.844 0.167
8 O 0.844 0.156 0.833
9 O 0.156 0.312 0.167
10 O 0.844 0.688 0.833
11 As 0.000 0.000 0.000
12 Ca 0.000 0.000 0.500

DOS(E_F): 8.275 states/eV/cell
size of the total moment: 3.1 μB per cell
formation energy from raw total energies: -1.940 eV per atom

Entry 3:
Crystalline CaAcAsO5 at its relaxed geometry, computed with GGA-PBE.

Unit cell a=6.020 b=6.020 c=8.338 alpha=99.79 beta=99.79 gamma=107.04
Positions (direct):
1 Ac 0.000 0.000 0.500
2 Ac 0.000 0.000 0.000
3 O 0.883 0.117 0.750
4 O 0.357 0.932 0.674
5 O 0.699 0.564 0.405
6 O 0.436 0.301 0.095
7 O 0.068 0.643 0.826
8 O 0.301 0.436 0.595
9 O 0.643 0.068 0.326
10 O 0.564 0.699 0.905
11 O 0.117 0.883 0.250
12 O 0.932 0.357 0.174
13 Ca 0.339 0.661 0.250
14 Ca 0.661 0.339 0.750
15 As 0.323 0.677 0.750
16 As 0.677 0.323 0.250

DOS(E_F): 0.000 states/eV/cell
size of the total moment: 0.0 μB per cell
formation energy from raw total energies: -2.405 eV per atom

Entry 4:
Crystalline Ca2AcAsO6 at its relaxed geometry, computed with GGA-PBE.

Unit cell a=5.345 b=5.584 c=5.584 alpha=90.00 beta=90.00 gamma=90.00
Positions (direct):
1 Ac 0.538 0.500 0.500
2 O 0.733 0.221 0.221
3 O 0.301 0.000 0.000
4 O 0.733 0.779 0.779
5 O 0.105 0.500 0.500
6 O 0.733 0.221 0.779
7 O 0.733 0.779 0.221
8 Ca 0.973 0.000 0.500
9 Ca 0.973 0.500 0.000
10 As 0.626 0.000 0.000

DOS(E_F): 0.000 states/eV/cell
size of the total moment: 0.0 μB per cell
formation energy from raw total energies: -2.396 eV per atom

Entry 5:
Crystalline Ca3Ac2PaAs6 at its relaxed geometry, computed with GGA-PBE.

Unit cell a=7.628 b=7.628 c=7.364 alpha=100.07 beta=100.07 gamma=120.06
Positions (direct):
1 As 0.391 0.082 0.246
2 As 0.776 0.776 0.245
3 As 0.224 0.224 0.755
4 As 0.918 0.609 0.754
5 As 0.609 0.918 0.754
6 As 0.082 0.391 0.246
7 Pa 0.000 0.000 0.000
8 Ca 0.500 0.500 0.500
9 Ca 0.172 0.828 0.500
10 Ca 0.828 0.172 0.500
11 Ac 0.334 0.666 0.000
12 Ac 0.666 0.334 0.000

DOS(E_F): 10.974 states/eV/cell
formation enthalpy at 0 K: -1.2094 eV/atom
size of the total moment: 0.0 μB per cell

Entry 6:
Crystalline CaAc2As3Pd12 at its relaxed geometry, computed with GGA-PBE.

Unit cell a=7.060 b=7.060 c=7.060 alpha=84.84 beta=84.84 gamma=84.84
Positions (direct):
1 Pd 0.186 0.186 0.687
2 Pd 0.619 0.099 0.619
3 Pd 0.901 0.381 0.381
4 Pd 0.313 0.814 0.814
5 Pd 0.381 0.901 0.381
6 Pd 0.381 0.381 0.901
7 Pd 0.186 0.687 0.186
8 Pd 0.687 0.186 0.186
9 Pd 0.099 0.619 0.619
10 Pd 0.814 0.814 0.313
11 Pd 0.619 0.619 0.099
12 Pd 0.814 0.313 0.814
13 Ca 0.000 0.000 0.000
14 As 0.500 0.000 0.000
15 As 0.000 0.000 0.500
16 As 0.000 0.500 0.000
17 Ac 0.660 0.660 0.660
18 Ac 0.340 0.340 0.340

DOS(E_F): 10.683 states/eV/cell
formation enthalpy at 0 K: -0.4508 eV/atom
size of the total moment: 0.0 μB per cell

Entry 7:
Crystalline CaAcAs2Pd5 at its relaxed geometry, computed with GGA-PBE.

Unit cell a=4.516 b=4.516 c=8.630 alpha=90.00 beta=90.00 gamma=90.00
Positions (direct):
1 Pd 0.500 0.500 0.500
2 Pd 0.500 0.000 0.718
3 Pd 0.500 0.000 0.282
4 Pd 0.000 0.500 0.282
5 Pd 0.000 0.500 0.718
6 As 0.500 0.500 0.841
7 As 0.500 0.500 0.159
8 Ca 0.000 0.000 0.500
9 Ac 0.000 0.000 0.000

DOS(E_F): 4.717 states/eV/cell
formation enthalpy at 0 K: -0.7782 eV/atom
size of the total moment: 0.0 μB per cell

Entry 8:
Crystalline CaAcAsPd at its relaxed geometry, computed with GGA-PBE.

Unit cell a=5.274 b=5.274 c=5.274 alpha=60.00 beta=60.00 gamma=60.00
Positions (direct):
1 Ac 0.750 0.750 0.750
2 Ca 0.250 0.250 0.250
3 Pd 0.500 0.500 0.500
4 As 0.000 0.000 0.000

DOS(E_F): 0.209 states/eV/cell
formation enthalpy at 0 K: -0.9116 eV/atom
size of the total moment: 0.0 μB per cell

Entry 9:
Crystalline CaAcAs2Pd2 at its relaxed geometry, computed with GGA-PBE.

Unit cell a=4.379 b=4.379 c=8.314 alpha=90.00 beta=90.00 gamma=120.00
Positions (direct):
1 Ca 0.000 0.000 0.500
2 As 0.667 0.333 0.744
3 As 0.333 0.667 0.256
4 Ac 0.000 0.000 0.000
5 Pd 0.667 0.333 0.266
6 Pd 0.333 0.667 0.734

DOS(E_F): 3.076 states/eV/cell
formation enthalpy at 0 K: -1.0973 eV/atom
size of the total moment: 0.0 μB per cell

Entry 10:
Crystalline CaAc2PmAs4 at its relaxed geometry, computed with GGA-PBE.

Unit cell a=4.433 b=7.563 c=7.683 alpha=70.20 beta=90.00 gamma=90.00
Positions (direct):
1 As 0.000 0.737 0.751
2 As 0.000 0.263 0.249
3 As 0.500 0.265 0.742
4 As 0.500 0.735 0.258
5 Ac 0.000 0.000 0.000
6 Ac 0.500 0.000 0.500
7 Pm 0.000 0.500 0.500
8 Ca 0.500 0.500 0.000

DOS(E_F): 6.691 states/eV/cell
formation enthalpy at 0 K: -1.3123 eV/atom
size of the total moment: 0.0 μB per cell

Entry 11:
Crystalline CaAcPr2As4 at its relaxed geometry, computed with GGA-PBE.

Unit cell a=6.156 b=6.156 c=7.570 alpha=113.99 beta=113.99 gamma=90.01
Positions (direct):
1 Pr 0.187 0.687 0.500
2 Pr 0.687 0.187 0.500
3 As 0.190 0.190 0.505
4 As 0.437 0.937 0.000
5 As 0.684 0.684 0.495
6 As 0.937 0.437 0.000
7 Ca 0.437 0.437 0.000
8 Ac 0.937 0.937 0.000

DOS(E_F): 3.012 states/eV/cell
formation enthalpy at 0 K: -1.3160 eV/atom
size of the total moment: 0.0 μB per cell

Entry 12:
Crystalline CaAc2Pr3As6 at its relaxed geometry, computed with GGA-PBE.

Unit cell a=4.391 b=8.799 c=9.844 alpha=103.42 beta=102.89 gamma=90.00
Positions (direct):
1 Pr 0.166 0.835 0.332
2 Pr 0.500 0.500 0.000
3 Pr 0.834 0.165 0.668
4 As 0.004 0.747 0.007
5 As 0.996 0.253 0.993
6 As 0.335 0.411 0.671
7 As 0.665 0.589 0.329
8 As 0.333 0.926 0.665
9 As 0.667 0.074 0.335
10 Ca 0.500 0.000 0.000
11 Ac 0.836 0.672 0.672
12 Ac 0.164 0.328 0.328

DOS(E_F): 6.812 states/eV/cell
formation enthalpy at 0 K: -1.3727 eV/atom
size of the total moment: 0.0 μB per cell

Number 1: VASP energy -79.6 eV/f.u.. Number 2: VASP energy -77.8 eV/f.u.. Number 3: VASP energy -54.8 eV/f.u.. Number 4: VASP energy -66.5 eV/f.u.. Number 5: VASP energy -66.1 eV/f.u.. Number 6: VASP energy -94.6 eV/f.u.. Number 7: VASP energy -48.4 eV/f.u.. Number 8: VASP energy -19.6 eV/f.u.. Number 9: VASP energy -32.4 eV/f.u.. Number 10: VASP energy -44.1 eV/f.u.. Number 11: VASP energy -44.8 eV/f.u.. Number 12: VASP energy -68.9 eV/f.u..